No. 1
PBE LaTb2Ho4, relaxed; density of states at the Fermi level = 1.5860 states/eV/atom; ΔH_f (0 K) = 0.29 eV per formula unit; relative energy among the computed polymorphs = 0.000 eV/f.u.
1.0
6.792 0.808 -1.821
-3.532 7.228 -3.077
0.563 -0.331 8.807
Ho La Tb
8 2 4
Cartesian
0.645 3.228 -1.501
-1.384 3.850 5.029
4.951 2.315 0.531
3.321 0.125 7.139
3.568 6.749 -2.715
4.125 1.233 3.780
2.020 4.258 4.091
1.601 1.895 1.431
6.718 0.524 6.236
-0.634 4.916 1.459
2.756 5.330 0.477
0.172 6.334 -1.862
3.996 3.618 -2.433
0.737 0.891 4.691



No. 2
PBE CdGe2Au8, relaxed; density of states at the Fermi level = 0.2611 states/eV/atom; ΔH_f (0 K) = -0.01 eV per formula unit
1.0
-2.155 -2.345 2.168
-3.237 -2.159 -5.555
7.474 -3.747 -0.047
Au Cd Ge
8 1 2
Cartesian
1.225 -1.801 -0.731
3.449 -5.239 -2.240
-1.367 -3.012 -1.194
-1.771 -2.022 -3.948
-1.649 -4.912 -3.530
3.731 -3.340 0.096
0.858 -6.451 -2.704
3.853 -6.230 0.514
-1.077 -1.173 1.084
0.705 -3.507 -3.094
1.377 -4.745 -0.341



No. 3
PBE ScMo3Ru, relaxed; density of states at the Fermi level = 2.0508 states/eV/atom; ΔH_f (0 K) = 5.95 eV per formula unit; relative energy among the computed polymorphs = 0.000 eV/f.u.
1.0
4.711 0.000 0.000
0.000 4.711 0.000
0.000 0.000 4.711
Ru Mo Sc
1 3 1
Cartesian
0.000 0.000 0.000
0.000 0.000 2.355
2.355 0.000 0.000
0.000 2.355 0.000
2.355 2.355 2.355



No. 4
PBE TlVTePb2, relaxed; density of states at the Fermi level = 0.6215 states/eV/atom; total energy = -4.051 eV per atom
1.0
-3.448 -0.028 -4.178
1.879 -4.856 -1.518
-3.733 -2.413 3.097
Te Pb Tl V
1 2 1 1
Cartesian
-2.651 -3.648 -1.300
-1.866 -1.206 1.548
-1.724 -0.014 -2.089
0.940 -2.428 -0.759
0.000 0.000 0.000



No. 5
PBE P2PtSN, relaxed; density of states at the Fermi level = 1.3265 states/eV/atom; relative energy among the computed polymorphs = 4.883 eV/f.u.
1.0
-1.817 2.027 3.704
3.086 -2.114 2.671
3.019 3.711 -0.550
P Pt N S
2 1 1 1
Cartesian
1.543 -1.057 1.336
-0.909 1.014 1.852
0.000 0.000 0.000
2.144 1.812 2.912
1.509 1.856 -0.275



No. 6
PBE K2AlNi, relaxed; density of states at the Fermi level = 0.7342 states/eV/atom; ΔH_f (0 K) = 2.88 eV per formula unit
1.0
-2.980 -5.310 1.571
1.752 -5.533 -2.421
2.582 5.014 2.781
K Ni Al
2 1 1
Cartesian
-0.614 -5.421 -0.425
0.000 0.000 0.000
1.860 -2.970 -0.032
-0.506 -2.859 1.964



No. 7
PBE TiGeSN2, relaxed; density of states at the Fermi level = 0.5853 states/eV/atom; relative energy among the computed polymorphs = 2.133 eV/f.u.
1.0
3.724 0.000 0.000
0.000 3.724 0.000
0.000 0.000 4.859
Ti Ge S N
1 1 1 2
Cartesian
1.862 1.862 2.430
0.000 0.000 0.000
0.000 0.000 2.430
0.000 1.862 0.000
1.862 0.000 0.000



No. 8
PBE BaSeCl2, relaxed; density of states at the Fermi level = 0.7962 states/eV/atom; relative energy among the computed polymorphs = 1.247 eV/f.u.
1.0
5.023 0.000 0.000
0.000 5.023 0.000
0.000 0.000 4.410
Cl Se Ba
2 1 1
Cartesian
2.512 2.512 0.000
0.000 0.000 0.000
0.000 2.512 2.205
2.512 0.000 2.205